# AgPbSe2

A relaxed structure of AgPbSe2 (PBE, the Alexandria database).

CIF file:
```
data_AgPbSe2
_chemical_formula_sum 'Ag1 Pb1 Se2'
_cell_length_a 8.377
_cell_length_b 8.377
_cell_length_c 8.377
_cell_angle_alpha 30.56
_cell_angle_beta 30.56
_cell_angle_gamma 30.56
_space_group_name_H-M_alt 'P 1'
_space_group_IT_number 1
loop_
_space_group_symop_operation_xyz
'x,y,z'
loop_
_atom_site_label
_atom_site_fract_x
_atom_site_fract_y
_atom_site_fract_z
Pb1 0.500 0.500 0.500
Ag1 0.000 0.000 0.000
Se1 0.897 0.897 0.897
Se2 0.103 0.103 0.103
```

Output
Density of states at the Fermi level   0.813 states/eV/atom
E   -3.505 eV/atom
ΔE_f (raw)   -123 meV per atom
Space-group type   R-3m